The following is a DFT calculation (GGA+U) of a relaxed VHgPbO5 crystal.

abc: 6.224 6.224 8.287
angles: 108.46 108.46 94.27
Fractional coordinates of all 16 atoms:
V 0.145 0.855 0.750
V 0.855 0.145 0.250
Hg 0.181 0.819 0.250
Hg 0.819 0.181 0.750
Pb 0.500 0.500 0.000
Pb 0.500 0.500 0.500
O 0.160 0.209 0.363
O 0.209 0.160 0.863
O 0.225 0.720 0.908
O 0.280 0.775 0.592
O 0.411 0.589 0.250
O 0.589 0.411 0.750
O 0.720 0.225 0.408
O 0.775 0.280 0.092
O 0.791 0.840 0.137
O 0.840 0.791 0.637

Summary:
The calculated total energy is -5.71 eV/atom. As for the total magnetization: 0.00 μB per formula unit. The space group is C2/c, No. 15.